Record 1
A geometry-optimized ReB3Rh structure, computed with PBE-GGA.

Values from the calculation:
Its space group is Pm-3m, No. 221. As for the energy above the most stable polymorph in this dataset: 0.0 kJ/mol of formula units. The density of states at the Fermi level is 3.30 states/eV/cell. The formation energy is 1.264 eV/atom.

Cell: 4.0526 4.0526 4.0526 Å, 90.00 90.00 90.00°
Last column: nearest neighbours and their distance in Å.
Element x y z (fractional)
1 Re 0.0000 0.0000 0.0000  6 B 2.03
2 B 0.0000 0.5000 0.0000  2 Re 2.03
3 B 0.0000 0.0000 0.5000  2 Re 2.03
4 B 0.5000 0.0000 0.0000  2 Re 2.03
5 Rh 0.5000 0.5000 0.5000  12 B 2.87

=====

Record 2
A geometry-optimized U6Au structure, computed with PBE-GGA.

Values from the calculation:
Its space group is Im-3m, No. 229. The density of states at the Fermi level is 23.69 states/eV/cell. The formation energy is 1.157 eV/atom.

Cell: 6.1485 6.1485 6.1485 Å, 109.47 109.47 109.47°
Last column: nearest neighbours and their distance in Å.
Element x y z (fractional)
1 U 0.2500 0.7500 0.5000  4 U 2.51
2 U 0.5000 0.7500 0.2500  4 U 2.51
3 U 0.2500 0.5000 0.7500  4 U 2.51
4 U 0.7500 0.2500 0.5000  4 U 2.51
5 U 0.5000 0.2500 0.7500  4 U 2.51
6 U 0.7500 0.5000 0.2500  4 U 2.51
7 Au 0.0000 0.0000 0.0000  24 U 3.97

=====

Record 3
A geometry-optimized YCr3Co structure, computed with PBE-GGA.

Values from the calculation:
Its space group is Pm-3m, No. 221. As for the energy above the most stable polymorph in this dataset: 934.6 kJ/mol of formula units. The density of states at the Fermi level is 15.90 states/eV/cell. The formation energy is 2.733 eV/atom.

Cell: 4.4389 4.4389 4.4389 Å, 90.00 90.00 90.00°
Last column: nearest neighbours and their distance in Å.
Element x y z (fractional)
1 Y 0.0000 0.0000 0.0000  6 Cr 2.22
2 Cr 0.0000 0.5000 0.0000  2 Y 2.22
3 Cr 0.0000 0.0000 0.5000  2 Y 2.22
4 Cr 0.5000 0.0000 0.0000  2 Y 2.22
5 Co 0.5000 0.5000 0.5000  12 Cr 3.14

=====

Record 4
A geometry-optimized CdCo structure, computed with PBE-GGA.

Values from the calculation:
Its space group is I-43m, No. 217. The density of states at the Fermi level is 24.58 states/eV/cell. The formation energy is 0.831 eV/atom.

Cell: 7.8716 7.8716 7.8716 Å, 90.00 90.00 90.00°
Last column: nearest neighbours and their distance in Å.
Element x y z (fractional)
1 Cd 0.2909 0.2909 0.2909  4 Co 2.57-2.73
2 Cd 0.2909 0.7091 0.7091  4 Co 2.57-2.73
3 Cd 0.7091 0.2909 0.7091  4 Co 2.57-2.73
4 Cd 0.7091 0.7091 0.2909  4 Co 2.57-2.73
5 Cd 0.7909 0.7909 0.7909  4 Co 2.57-2.73
6 Cd 0.7909 0.2091 0.2091  4 Co 2.57-2.73
7 Cd 0.2091 0.7909 0.2091  4 Co 2.57-2.73
8 Cd 0.2091 0.2091 0.7909  4 Co 2.57-2.73
9 Co 0.1027 0.1027 0.1027  3 Co 2.29
10 Co 0.1027 0.8973 0.8973  3 Co 2.29
11 Co 0.8973 0.1027 0.8973  3 Co 2.29
12 Co 0.8973 0.8973 0.1027  3 Co 2.29
13 Co 0.6027 0.6027 0.6027  3 Co 2.29
14 Co 0.6027 0.3973 0.3973  3 Co 2.29
15 Co 0.3973 0.6027 0.3973  3 Co 2.29
16 Co 0.3973 0.3973 0.6027  3 Co 2.29

=====

Record 5
A geometry-optimized Ce5AsS4 structure, computed with PBE-GGA.

Values from the calculation:
Its space group is I4/mmm, No. 139. The energy relative to the elements, uncorrected comes out at -1.912 eV/atom. The density of states at the Fermi level is 22.81 states/eV/cell.

Cell: 4.0599 4.0599 14.6328 Å, 97.97 97.97 90.00°
Last column: nearest neighbours and their distance in Å.
Element x y z (fractional)
1 Ce 0.1021 0.1021 0.2043  5 S 2.84-2.87, 1 As 2.93
2 Ce 0.5000 0.5000 0.0000  4 As 2.87, 2 S 2.89
3 Ce 0.8979 0.8979 0.7957  5 S 2.84-2.87, 1 As 2.93
4 Ce 0.2997 0.2997 0.5994  6 S 2.83-2.87
5 Ce 0.7003 0.7003 0.4006  6 S 2.83-2.87
6 As 0.0000 0.0000 0.0000  6 Ce 2.87-2.93
7 S 0.3994 0.3994 0.7989  6 Ce 2.86-2.89
8 S 0.7991 0.7991 0.5982  6 Ce 2.83-2.87
9 S 0.2009 0.2009 0.4018  6 Ce 2.83-2.87
10 S 0.6006 0.6006 0.2011  6 Ce 2.86-2.89

=====

Record 6
A geometry-optimized CaMgPb structure, computed with PBE-GGA.

Values from the calculation:
Its space group is I4/mmm, No. 139. The density of states at the Fermi level is 2.63 states/eV/cell. The formation energy is -0.361 eV/atom.

Cell: 4.5681 4.5681 8.9020 Å, 104.87 104.87 90.00°
Last column: nearest neighbours and their distance in Å.
Element x y z (fractional)
1 Ca 0.6703 0.6703 0.3406  5 Pb 3.31-3.37, 4 Mg 3.63
2 Ca 0.3297 0.3297 0.6594  5 Pb 3.31-3.37, 4 Mg 3.63
3 Mg 0.5000 0.0000 0.0000  4 Pb 3.10, 4 Mg 3.23
4 Mg 0.0000 0.5000 0.0000  4 Pb 3.10, 4 Mg 3.23
5 Pb 0.1265 0.1265 0.2531  4 Mg 3.10, 5 Ca 3.31-3.37
6 Pb 0.8735 0.8735 0.7469  4 Mg 3.10, 5 Ca 3.31-3.37

=====

Record 7
A geometry-optimized SrTm4PuS8 structure, computed with PBE-GGA.

Values from the calculation:
Its space group is R3m, No. 160. The energy relative to the elements, uncorrected comes out at -1.919 eV/atom. The density of states at the Fermi level is 16.46 states/eV/cell.

Cell: 8.0838 8.0838 8.1631 Å, 60.32 60.32 60.00°
Last column: nearest neighbours and their distance in Å.
Element x y z (fractional)
1 Sr 0.3752 0.3752 0.8743  4 S 2.77-2.80
2 Tm 0.6246 0.6246 0.1263  4 S 2.60-2.67
3 Tm 0.0021 0.4943 0.5016  6 S 2.65-2.81
4 Tm 0.4943 0.0021 0.5016  6 S 2.65-2.81
5 Tm 0.0021 0.0021 0.5016  6 S 2.65-2.81
6 Pu 0.0000 0.0000 0.9999  6 S 2.79-2.87
7 S 0.2409 0.7946 0.7237  2 Tm 2.65, 1 Sr 2.77, 1 Pu 2.79
8 S 0.7946 0.2409 0.7237  2 Tm 2.65, 1 Sr 2.77, 1 Pu 2.79
9 S 0.2409 0.2409 0.7237  2 Tm 2.65, 1 Sr 2.77, 1 Pu 2.79
10 S 0.2356 0.2356 0.2931  3 Tm 2.69, 1 Sr 2.80
11 S 0.7505 0.2313 0.2677  3 Tm 2.60-2.79, 1 Pu 2.87
12 S 0.2313 0.7505 0.2677  3 Tm 2.60-2.79, 1 Pu 2.87
13 S 0.7505 0.7505 0.2677  3 Tm 2.60-2.79, 1 Pu 2.87
14 S 0.7575 0.7575 0.7276  4 Tm 2.67-2.81

=====

Record 8
A geometry-optimized Ca3PuIn4 structure, computed with PBE-GGA.

Values from the calculation:
Its space group is P4/mmm, No. 123. The density of states at the Fermi level is 11.73 states/eV/cell. The formation energy is -0.367 eV/atom.

Cell: 3.7717 3.7717 15.8875 Å, 90.00 90.00 90.00°
Last column: nearest neighbours and their distance in Å.
Element x y z (fractional)
1 Ca 0.5000 0.5000 0.2505  8 In 3.31-3.33
2 Ca 0.5000 0.5000 0.5000  8 In 3.34
3 Ca 0.5000 0.5000 0.7495  8 In 3.31-3.33
4 In 0.0000 0.0000 0.8749  4 Pu 3.33, 4 Ca 3.33
5 In 0.0000 0.0000 0.1251  4 Pu 3.33, 4 Ca 3.33
6 In 0.0000 0.0000 0.3735  8 Ca 3.31-3.34
7 In 0.0000 0.0000 0.6265  8 Ca 3.31-3.34
8 Pu 0.5000 0.5000 0.0000  8 In 3.33

=====

Record 9
A geometry-optimized TbHo3Rh4 structure, computed with PBE-GGA.

Values from the calculation:
Its space group is P4/mmm, No. 123. The density of states at the Fermi level is 8.02 states/eV/cell. The formation energy is -0.889 eV/atom.

Cell: 4.8680 6.7349 9.7383 Å, 90.00 90.00 90.00°
Last column: nearest neighbours and their distance in Å.
Element x y z (fractional)
1 Rh 0.5000 0.7513 0.0000  6 Ho 2.95-2.96, 2 Tb 2.96
2 Rh 0.5000 0.7513 0.5000  6 Ho 2.95-2.96, 2 Tb 2.96
3 Rh 0.5000 0.2487 0.0000  6 Ho 2.95-2.96, 2 Tb 2.96
4 Rh 0.5000 0.2487 0.5000  6 Ho 2.95-2.96, 2 Tb 2.96
5 Rh 0.9998 0.7512 0.7500  6 Ho 2.95-2.96, 2 Tb 2.96
6 Rh 0.0002 0.7512 0.2500  6 Ho 2.95-2.96, 2 Tb 2.96
7 Rh 0.0002 0.2488 0.2500  6 Ho 2.95-2.96, 2 Tb 2.96
8 Rh 0.9998 0.2488 0.7500  6 Ho 2.95-2.96, 2 Tb 2.96
9 Tb 0.0000 0.5000 0.0000  8 Rh 2.96
10 Tb 0.0000 0.5000 0.5000  8 Rh 2.96
11 Ho 0.0000 0.0000 0.0000  8 Rh 2.95-2.96
12 Ho 0.0000 0.0000 0.5000  8 Rh 2.95-2.96
13 Ho 0.4998 0.0000 0.7500  8 Rh 2.95-2.96
14 Ho 0.5002 0.0000 0.2500  8 Rh 2.95-2.96
15 Ho 0.4998 0.5000 0.7500  8 Rh 2.96
16 Ho 0.5002 0.5000 0.2500  8 Rh 2.96

=====

Record 10
A geometry-optimized TlRe2Os structure, computed with PBE-GGA.

Values from the calculation:
Its space group is I-4m2, No. 119. As for the energy above the most stable polymorph in this dataset: 136.4 kJ/mol of formula units. The density of states at the Fermi level is 5.67 states/eV/cell. The formation energy is 0.939 eV/atom.

Cell: 4.9462 4.9462 4.9462 Å, 132.24 132.24 69.86°
Last column: nearest neighbours and their distance in Å.
Element x y z (fractional)
1 Os 0.7500 0.2500 0.5000  8 Re 2.83-2.85, 4 Tl 2.85
2 Re 0.0000 0.0000 0.0000  4 Tl 2.83, 4 Os 2.85, 4 Re 2.85
3 Re 0.2500 0.7500 0.5000  4 Os 2.83, 4 Re 2.85, 4 Tl 2.85
4 Tl 0.5000 0.5000 0.0000  8 Re 2.83-2.85, 4 Os 2.85

=====

Record 11
A geometry-optimized Ac13Nd2 structure, computed with PBE-GGA.

Values from the calculation:
Its space group is P-1, No. 2. The density of states at the Fermi level is 23.25 states/eV/cell. The formation energy is 0.064 eV/atom.

Cell: 7.3548 9.9260 9.9356 Å, 113.61 82.18 97.77°
Last column: nearest neighbours and their distance in Å.
Element x y z (fractional)
1 Ac 0.7028 0.6342 0.0350  7 Ac 3.66-4.09
2 Ac 0.2972 0.3658 0.9650  7 Ac 3.66-4.09
3 Ac 0.0000 0.0000 0.0000  12 Ac 3.85-4.17, 2 Nd 4.08
4 Ac 0.2879 0.0277 0.6267  2 Nd 3.52-3.79, 3 Ac 3.68-3.89
5 Ac 0.7121 0.9723 0.3733  2 Nd 3.52-3.79, 3 Ac 3.68-3.89
6 Ac 0.0970 0.5596 0.7531  2 Nd 3.54-3.79, 3 Ac 3.68-3.89
7 Ac 0.9030 0.4404 0.2469  2 Nd 3.54-3.79, 3 Ac 3.68-3.89
8 Ac 0.4021 0.6009 0.4014  11 Ac 3.82-4.15, 3 Nd 4.08-4.13
9 Ac 0.5979 0.3991 0.5986  11 Ac 3.82-4.15, 3 Nd 4.08-4.13
10 Ac 0.5059 0.8327 0.8279  1 Nd 3.53, 4 Ac 3.69-3.89
11 Ac 0.4941 0.1673 0.1721  1 Nd 3.53, 4 Ac 3.69-3.89
12 Ac 0.7986 0.2000 0.8002  12 Ac 3.85-4.23, 2 Nd 4.07-4.13
13 Ac 0.2014 0.8000 0.1998  12 Ac 3.85-4.23, 2 Nd 4.07-4.13
14 Nd 0.8983 0.7694 0.5698  5 Ac 3.52-3.79
15 Nd 0.1017 0.2306 0.4302  5 Ac 3.52-3.79